[1]
Compound: LaSc3Pt
Source: Alexandria via LeMat-Bulk
Functional: PBEsol
Structure: relaxed

Geometry as POSCAR:
```
LaSc3Pt
1.0
4.940 0.000 0.000
0.000 4.940 0.000
0.000 0.000 4.940
La Sc Pt
1 3 1
Direct
0.000 0.000 0.000
0.000 0.000 0.500
0.000 0.500 0.000
0.500 0.000 0.000
0.500 0.500 0.500
```

Values from the calculation:
Space group ... Pm-3m (221)

=====

[2]
Compound: Ca2Mg2Cu
Source: Alexandria via LeMat-Bulk
Functional: PBEsol
Structure: relaxed

Geometry as POSCAR:
```
Ca2Mg2Cu
1.0
2.149 -5.434 0.000
2.149 5.434 0.000
0.000 0.000 10.787
Ca Mg Cu
4 4 2
Direct
0.095 0.905 0.500
0.193 0.807 0.166
0.807 0.193 0.666
0.905 0.095 0.000
0.183 0.817 0.863
0.493 0.507 0.257
0.507 0.493 0.757
0.817 0.183 0.363
0.396 0.604 0.499
0.604 0.396 0.999
```

Values from the calculation:
Space group ... Cmc2_1 (36)
Excess energy over the best structure of this formula in the dataset ... 5 meV per atom

=====

| no. | ΔE_f (meV per atom) | total magnetic moment (μB per formula unit) | final energy (eV/cell) |
| --- | --- | --- | --- |
| 1 | 988 | 0.00 | -27.2 |
| 2 | -63 | 0.00 | -24.7 |